Material: ZnSnMoF2
Method: DFT, PBE+U
State: optimized geometry

Values from the calculation:
Total DFT energy (no corrections) in eV per cell: -21.40
Total moment in Bohr magnetons per cell: 2.939

a b c (Å): 4.1672 6.0718 4.1672
angles (deg): 90.00 90.00 90.00
With the nearest neighbours (Å) after each atom.
Positions (direct):
F: 0.0000 0.0000 0.5000  2 Mo 2.08
F: 0.5000 0.0000 0.0000  2 Mo 2.08
Sn: 0.0000 0.5000 0.0000  4 Zn 2.95, 2 Mo 3.04
Mo: 0.0000 0.0000 0.0000  4 F 2.08
Zn: 0.5000 0.5000 0.5000  4 Sn 2.95